(1)
Entry from Alexandria via LeMat-Bulk: crystalline AcThAs2 at its relaxed geometry (PBE).

ΔE_f: -1.059 eV/atom
density of states at the Fermi level: 0.7990 states/eV/atom
SG: Fm-3m
energy above the lowest structure with this stoichiometry: 381 meV per atom
V: 105.5 Å³/cell

Unit cell a=5.3038 b=5.3038 c=5.3038 alpha=60.00 beta=60.00 gamma=60.00
Element x y z (fractional)
Ac  0.0000  0.0000  0.0000
Th  0.5000  0.5000  0.5000
As  0.2500  0.2500  0.2500
As  0.7500  0.7500  0.7500

***

(2)
Entry from Alexandria via LeMat-Bulk: crystalline AcTh5As6 at its relaxed geometry (PBE).

ΔE_f: -1.398 eV/atom
density of states at the Fermi level: 0.5691 states/eV/atom
SG: C2/m
V: 336.3 Å³/cell

Unit cell a=7.4384 b=7.4384 c=7.4443 alpha=99.60 beta=99.60 gamma=120.01
Element x y z (fractional)
Ac  0.0000  0.0000  0.0000
Th  0.1633  0.8367  0.5000
Th  0.3329  0.6671  0.0000
Th  0.5000  0.5000  0.5000
Th  0.6671  0.3329  0.0000
Th  0.8367  0.1633  0.5000
As  0.0859  0.4284  0.2569
As  0.2586  0.2586  0.7470
As  0.4284  0.0859  0.2569
As  0.5716  0.9141  0.7431
As  0.7414  0.7414  0.2530
As  0.9141  0.5716  0.7431

***

(3)
Entry from Alexandria via LeMat-Bulk: crystalline AcThAs2 at its relaxed geometry (PBE).

ΔE_f: -1.439 eV/atom
density of states at the Fermi level: 0.5229 states/eV/atom
SG: R-3m
energy above the lowest structure with this stoichiometry: 0 meV per atom
V: 119.6 Å³/cell

Unit cell a=7.6448 b=7.6448 c=7.6448 alpha=33.26 beta=33.26 gamma=33.26
Element x y z (fractional)
Ac  0.0000  0.0000  0.0000
Th  0.5000  0.5000  0.5000
As  0.2434  0.2434  0.2434
As  0.7566  0.7566  0.7566